TlZn2H2 | PBEsol | relaxed

Summary:
**DFT total energy**: -2.133 eV/atom
**Spin magnetization**: 0.000 μB/f.u.
**Space-group type**: No. 139

a b c (Å): 6.518 6.518 6.518
angles (deg): 150.64 150.64 42.01
Fractional positions:
Tl 0.000 0.000 0.000
Zn 0.333 0.333 0.000
Zn 0.667 0.667 0.000
H 0.250 0.750 0.500
H 0.750 0.250 0.500